{
  "formula": "In4Ag",
  "functional": "PBEsol",
  "state": "optimized geometry",
  "lattice_angstrom": [[-6.1776, -0.9026, -6.0971], [4.8481, -7.2487, 0.3242], [-3.7503, 1.3409, 7.7647]],
  "species": ["In", "In", "In", "In", "In", "In", "In", "In", "In", "In", "In", "In", "In", "In", "In", "In", "Ag", "Ag", "Ag", "Ag"],
  "frac_coords": [[0.3210, 0.0000, 0.3210], [0.7500, 0.5000, 0.2500], [0.6790, 0.0000, 0.6790], [0.3696, 0.0000, 0.0000], [0.0000, 0.0000, 0.3696], [0.2500, 0.7500, 0.5000], [0.0000, 0.6790, 0.6790], [0.2500, 0.5000, 0.7500], [0.7500, 0.2500, 0.5000], [0.0000, 0.3210, 0.3210], [0.3210, 0.3210, 0.0000], [0.6790, 0.6790, 0.0000], [0.6304, 0.6304, 0.6304], [0.5000, 0.7500, 0.2500], [0.0000, 0.3696, 0.0000], [0.5000, 0.2500, 0.7500], [0.0000, 0.0000, 0.6809], [0.3191, 0.3191, 0.3191], [0.6809, 0.0000, 0.0000], [0.0000, 0.6809, 0.0000]],
  "total_magnetization_mub_per_atom": 0.000,
  "formation_energy_ev_per_atom": 0.143,
  "sg": "I-43m, No. 217",
  "de_polymorph_mev_per_atom": 14
}



{
  "formula": "CsOs3S",
  "functional": "PBEsol",
  "state": "optimized geometry",
  "lattice_angstrom": [[4.5149, 0.0000, 0.0000], [0.0000, 4.5149, 0.0000], [0.0000, 0.0000, 4.5149]],
  "species": ["Os", "Os", "Os", "Cs", "S"],
  "frac_coords": [[0.0000, 0.5000, 0.0000], [0.5000, 0.0000, 0.0000], [0.0000, 0.0000, 0.5000], [0.5000, 0.5000, 0.5000], [0.0000, 0.0000, 0.0000]],
  "raw_formation_energy_ev_per_atom": 1.80,
  "total_magnetization_mub_per_atom": 0.074,
  "sg": "Pm-3m, No. 221"
}



{
  "formula": "Tb3Cu4Si4",
  "functional": "PBEsol",
  "state": "optimized geometry",
  "lattice_angstrom": [[3.9441, 0.0000, 0.0000], [0.0000, 3.9986, 0.0000], [-1.9721, -1.9993, 11.7669]],
  "species": ["Cu", "Cu", "Cu", "Cu", "Tb", "Tb", "Tb", "Si", "Si", "Si", "Si"],
  "frac_coords": [[0.7498, 0.7498, 0.4995], [0.4037, 0.9037, 0.8074], [0.2502, 0.2502, 0.5005], [0.5963, 0.0963, 0.1926], [0.0000, 0.0000, 0.0000], [0.1496, 0.6496, 0.2991], [0.8504, 0.3504, 0.7009], [0.6937, 0.1937, 0.3874], [0.5501, 0.5501, 0.1003], [0.3063, 0.8063, 0.6126], [0.4499, 0.4499, 0.8997]],
  "raw_formation_energy_ev_per_atom": -0.69,
  "total_magnetization_mub_per_atom": 0.000,
  "sg": "Immm, No. 71"
}



{
  "formula": "MnP3",
  "functional": "PBEsol",
  "state": "optimized geometry",
  "lattice_angstrom": [[3.4347, 0.0000, 0.0000], [0.0000, 3.4347, 0.0000], [-1.7173, -1.7173, 4.7334]],
  "species": ["Mn", "P", "P", "P"],
  "frac_coords": [[0.0000, 0.0000, 0.0000], [0.7500, 0.2500, 0.5000], [0.2500, 0.7500, 0.5000], [0.5000, 0.5000, 0.0000]],
  "total_magnetization_mub_per_atom": 0.795,
  "formation_energy_ev_per_atom": 0.383,
  "sg": "I4/mmm, No. 139",
  "de_polymorph_mev_per_atom": 41
}



{
  "formula": "CdGaHg2",
  "functional": "PBEsol",
  "state": "optimized geometry",
  "lattice_angstrom": [[5.9676, 0.0000, 0.0000], [2.9838, 5.5156, 0.0000], [2.9838, 0.0000, 5.5156]],
  "species": ["Ga", "Ga", "Hg", "Hg", "Hg", "Hg", "Cd", "Cd"],
  "frac_coords": [[0.2500, 0.5000, 0.5000], [0.5000, 0.0000, 0.0000], [0.3750, 0.4838, 0.0162], [0.6088, 0.0162, 0.5162], [0.8750, 0.5162, 0.9838], [0.1412, 0.9838, 0.4838], [0.7500, 0.5000, 0.5000], [0.0000, 0.0000, 0.0000]],
  "total_magnetization_mub_per_atom": 0.000,
  "formation_energy_ev_per_atom": 0.060,
  "sg": "I-42d, No. 122"
}



{
  "formula": "Cd4Ag",
  "functional": "PBEsol",
  "state": "optimized geometry",
  "lattice_angstrom": [[3.1497, 0.0000, 0.0000], [1.5748, 4.8962, -0.0449], [1.5748, 1.4148, 6.3214]],
  "species": ["Cd", "Cd", "Cd", "Cd", "Ag"],
  "frac_coords": [[0.4056, 0.8005, 0.3884], [0.5944, 0.1995, 0.6116], [0.2054, 0.3936, 0.1956], [0.7946, 0.6064, 0.8044], [0.0000, 0.0000, 0.0000]],
  "total_magnetization_mub_per_atom": 0.000,
  "formation_energy_ev_per_atom": -0.011,
  "sg": "C2/m, No. 12",
  "de_polymorph_mev_per_atom": 1
}